Compound: TePdN
Source: Alexandria via LeMat-Bulk
Functional: PBE
Structure: relaxed

Structure (CIF):
```
data_TePdN
_cell_length_a 5.7648
_cell_length_b 3.2493
_cell_length_c 5.9374
_cell_angle_alpha 90.00
_cell_angle_beta 116.47
_cell_angle_gamma 90.00
_symmetry_space_group_name_H-M 'P 1 21/m 1'
_symmetry_Int_Tables_number 11
loop_
_symmetry_equiv_pos_as_xyz
'x,y,z'
'-x,-y,-z'
'-x,y+1/2,-z'
'x,-y+1/2,z'
loop_
_atom_site_label
_atom_site_type_symbol
_atom_site_fract_x
_atom_site_fract_y
_atom_site_fract_z
Te1 Te 0.2284 0.2500 0.2517
Pd1 Pd 0.3997 0.2500 0.7767
N1 N 0.0687 0.2500 0.8457
```

Summary:
- magnetization (μB/cell) = 0.00
- total energy (eV per atom) = -4.99
- distance to the lowest polymorph of the same formula (kJ per mole of atoms) = 71.0
- theoretical density (g/cm3) = 8.274
- calculated volume (Å³/cell) = 100